No. 1
Compound: CaP2
Source: Alexandria
Functional: PBE
Structure: optimized geometry

```
data_CaP2
_chemical_formula_sum 'Ca1 P2'
_symmetry_space_group_name_H-M 'P 1'
_symmetry_Int_Tables_number 1
_symmetry_space_group_name_Hall 'P 1'
_cell_length_a 4.1125
_cell_length_b 4.1125
_cell_length_c 4.1192
_cell_angle_alpha 90.00
_cell_angle_beta 90.00
_cell_angle_gamma 120.00
loop_
_atom_site_label
_atom_site_fract_x
_atom_site_fract_y
_atom_site_fract_z
Ca1 0.0000 0.0000 0.0000
P1 0.3333 0.6667 0.5472
P2 0.6667 0.3333 0.4528
```

Calculated values
E_form ... -0.525 eV per atom
Space-group type ... P-3m1 (164)

No. 2
Compound: Tm3ThPd12
Source: Alexandria
Functional: PBE
Structure: optimized geometry

```
data_Tm3ThPd12
_chemical_formula_sum 'Tm3 Th1 Pd12'
_symmetry_space_group_name_H-M 'P 1'
_symmetry_Int_Tables_number 1
_symmetry_space_group_name_Hall 'P 1'
_cell_length_a 4.1376
_cell_length_b 4.1376
_cell_length_c 16.4008
_cell_angle_alpha 90.00
_cell_angle_beta 90.00
_cell_angle_gamma 90.00
loop_
_atom_site_label
_atom_site_fract_x
_atom_site_fract_y
_atom_site_fract_z
Pd1 0.5000 0.5000 0.0000
Tm1 0.0000 0.0000 0.7456
Pd2 0.0000 0.5000 0.6237
Tm2 0.0000 0.0000 0.2544
Pd3 0.5000 0.0000 0.6237
Pd4 0.5000 0.5000 0.7476
Pd5 0.0000 0.5000 0.8718
Tm3 0.0000 0.0000 0.5000
Pd6 0.0000 0.5000 0.3763
Th1 0.0000 0.0000 0.0000
Pd7 0.5000 0.5000 0.2524
Pd8 0.5000 0.5000 0.5000
Pd9 0.5000 0.0000 0.8718
Pd10 0.0000 0.5000 0.1282
Pd11 0.5000 0.0000 0.3763
Pd12 0.5000 0.0000 0.1282
```

Calculated values
E_form ... -0.941 eV per atom
Space-group type ... P4/mmm (123)

No. 3
Compound: NpMnZn17
Source: Alexandria
Functional: PBE
Structure: optimized geometry

```
data_NpMnZn17
_chemical_formula_sum 'Np1 Mn1 Zn17'
_symmetry_space_group_name_H-M 'P 1'
_symmetry_Int_Tables_number 1
_symmetry_space_group_name_Hall 'P 1'
_cell_length_a 6.7547
_cell_length_b 6.7547
_cell_length_c 6.7547
_cell_angle_alpha 82.23
_cell_angle_beta 82.23
_cell_angle_gamma 82.23
loop_
_atom_site_label
_atom_site_fract_x
_atom_site_fract_y
_atom_site_fract_z
Zn1 0.1066 0.1066 0.1066
Zn2 0.1870 0.6312 0.6312
Zn3 0.9060 0.9060 0.9060
Np1 0.6632 0.6632 0.6632
Zn4 0.0058 0.6972 0.2977
Zn5 0.2977 0.6972 0.0058
Zn6 0.2977 0.0058 0.6972
Zn7 0.3507 0.8682 0.3507
Zn8 0.6972 0.2977 0.0058
Zn9 0.3507 0.3507 0.8682
Zn10 0.6312 0.6312 0.1870
Mn1 0.3204 0.3204 0.3204
Zn11 0.0058 0.2977 0.6972
Zn12 0.6312 0.1870 0.6312
Zn13 0.8682 0.3507 0.3507
Zn14 0.5172 0.9831 0.9831
Zn15 0.6972 0.0058 0.2977
Zn16 0.9831 0.9831 0.5172
Zn17 0.9831 0.5172 0.9831
```

Calculated values
E_form ... 0.023 eV per atom
Space-group type ... R3m (160)

No. 4
Compound: Tl6Bi2Sb
Source: Alexandria
Functional: PBE
Structure: optimized geometry

```
data_Tl6Bi2Sb
_chemical_formula_sum 'Tl6 Bi2 Sb1'
_symmetry_space_group_name_H-M 'P 1'
_symmetry_Int_Tables_number 1
_symmetry_space_group_name_Hall 'P 1'
_cell_length_a 5.6391
_cell_length_b 5.6391
_cell_length_c 11.4898
_cell_angle_alpha 75.79
_cell_angle_beta 75.79
_cell_angle_gamma 60.00
loop_
_atom_site_label
_atom_site_fract_x
_atom_site_fract_y
_atom_site_fract_z
Tl1 0.8012 0.8012 0.5965
Tl2 0.3034 0.3034 0.0898
Bi1 0.0986 0.0986 0.7040
Tl3 0.4088 0.4088 0.7735
Tl4 0.6966 0.6966 0.9102
Bi2 0.9014 0.9014 0.2960
Tl5 0.5912 0.5912 0.2265
Tl6 0.1988 0.1988 0.4035
Sb1 0.0000 0.0000 0.0000
```

Calculated values
Energy above the most stable polymorph in this dataset ... 0.0000 eV per atom
Space-group type ... R-3m (166)

No. 5
Compound: Na2InSn4
Source: Alexandria
Functional: PBE
Structure: optimized geometry

```
data_Na2InSn4
_chemical_formula_sum 'Na2 In1 Sn4'
_symmetry_space_group_name_H-M 'P 1'
_symmetry_Int_Tables_number 1
_symmetry_space_group_name_Hall 'P 1'
_cell_length_a 5.3319
_cell_length_b 5.4778
_cell_length_c 8.4670
_cell_angle_alpha 108.87
_cell_angle_beta 90.00
_cell_angle_gamma 90.00
loop_
_atom_site_label
_atom_site_fract_x
_atom_site_fract_y
_atom_site_fract_z
Na1 0.5000 0.7998 0.5996
Sn1 0.0000 0.0929 0.1859
Sn2 0.5000 0.5936 0.1872
In1 0.0000 0.5000 0.0000
Sn3 0.0000 0.9071 0.8141
Na2 0.5000 0.2002 0.4004
Sn4 0.5000 0.4064 0.8128
```

Calculated values
Energy above the most stable polymorph in this dataset ... 0.1482 eV per atom
E_form ... 0.105 eV per atom
Space-group type ... Cmmm (65)

No. 6
Compound: SnAuNF2
Source: Alexandria
Functional: PBE
Structure: optimized geometry

```
data_SnAuNF2
_chemical_formula_sum 'Sn1 Au1 N1 F2'
_symmetry_space_group_name_H-M 'P 1'
_symmetry_Int_Tables_number 1
_symmetry_space_group_name_Hall 'P 1'
_cell_length_a 4.7421
_cell_length_b 4.7421
_cell_length_c 3.8077
_cell_angle_alpha 90.00
_cell_angle_beta 90.00
_cell_angle_gamma 90.00
loop_
_atom_site_label
_atom_site_fract_x
_atom_site_fract_y
_atom_site_fract_z
F1 0.0000 0.5000 0.0000
Au1 0.0000 0.0000 0.0000
F2 0.5000 0.0000 0.0000
N1 0.0000 0.0000 0.5000
Sn1 0.5000 0.5000 0.5000
```

Calculated values
Energy above the most stable polymorph in this dataset ... 0.3332 eV per atom
Space-group type ... P4/mmm (123)

Copy entry 1 word for word.
Compound: CaP2
Source: Alexandria
Functional: PBE
Structure: optimized geometry

```
data_CaP2
_chemical_formula_sum 'Ca1 P2'
_symmetry_space_group_name_H-M 'P 1'
_symmetry_Int_Tables_number 1
_symmetry_space_group_name_Hall 'P 1'
_cell_length_a 4.1125
_cell_length_b 4.1125
_cell_length_c 4.1192
_cell_angle_alpha 90.00
_cell_angle_beta 90.00
_cell_angle_gamma 120.00
loop_
_atom_site_label
_atom_site_fract_x
_atom_site_fract_y
_atom_site_fract_z
Ca1 0.0000 0.0000 0.0000
P1 0.3333 0.6667 0.5472
P2 0.6667 0.3333 0.4528
```

Calculated values
E_form ... -0.525 eV per atom
Space-group type ... P-3m1 (164)